# MnCuP SCAN single point on PBEsol structure
data_MnCuP
_chemical_formula_sum 'Mn4 Cu4 P4'
_symmetry_space_group_name_H-M 'F -4 3 m'
_symmetry_Int_Tables_number 216
_symmetry_space_group_name_Hall 'F -4 2 3'
_cell_length_a 5.551
_cell_length_b 5.551
_cell_length_c 5.551
_cell_angle_alpha 90.00
_cell_angle_beta 90.00
_cell_angle_gamma 90.00
loop_
_atom_site_label
_atom_site_type_symbol
_atom_site_fract_x
_atom_site_fract_y
_atom_site_fract_z
Mn1 Mn 0.000 0.000 0.000
Cu1 Cu 0.250 0.250 0.250
P1 P 0.000 0.000 0.500
# Formation enthalpy at 0 K (eV per atom): -0.192
# Total moment (Bohr magnetons per cell): 18.80
# Calculated total energy (Ry per atom): -1.088
# Offset from the most stable computed form (eV/atom): 0.0000

# Co4Ir5 SCAN single point on PBEsol structure
data_Co4Ir5
_chemical_formula_sum 'Co8 Ir10'
_symmetry_space_group_name_H-M 'I 4/m m m'
_symmetry_Int_Tables_number 139
_symmetry_space_group_name_Hall '-I 4 2'
_cell_length_a 7.770
_cell_length_b 7.770
_cell_length_c 3.709
_cell_angle_alpha 90.00
_cell_angle_beta 90.00
_cell_angle_gamma 90.00
loop_
_atom_site_label
_atom_site_type_symbol
_atom_site_fract_x
_atom_site_fract_y
_atom_site_fract_z
Co1 Co 0.000 0.333 0.000
Ir1 Ir 0.000 0.000 0.000
Ir2 Ir 0.169 0.169 0.500
# Formation enthalpy at 0 K (eV per atom): 0.095
# Total moment (Bohr magnetons per cell): 15.23
# Calculated total energy (Ry per atom): -3.461